{
  "formula": "Ca3PrPt4",
  "functional": "PBE-GGA",
  "state": "relaxed",
  "space_group": "P4/mmm (123)",
  "lattice": [[4.978, 0.000, 0.000], [0.000, 4.978, 0.000], [0.000, 0.000, 7.108]],
  "species": ["Ca", "Ca", "Ca", "Pr", "Pt", "Pt", "Pt", "Pt"],
  "frac_coords": [[0.000, 0.000, 0.000], [0.000, 0.000, 0.500], [0.500, 0.500, 0.000], [0.500, 0.500, 0.500], [0.000, 0.500, 0.251], [0.000, 0.500, 0.749], [0.500, 0.000, 0.251], [0.500, 0.000, 0.749]]
}

{
  "formula": "CaPr5Pt4",
  "functional": "PBE-GGA",
  "state": "relaxed",
  "space_group": "C2/m (12)",
  "lattice": [[9.754, -2.113, 0.000], [9.754, 2.113, 0.000], [-3.277, 0.000, 7.312]],
  "species": ["Ca", "Pr", "Pr", "Pr", "Pr", "Pr", "Pt", "Pt", "Pt", "Pt"],
  "frac_coords": [[0.000, 0.000, 0.000], [0.000, 0.000, 0.500], [0.337, 0.337, 0.078], [0.337, 0.337, 0.596], [0.663, 0.663, 0.404], [0.663, 0.663, 0.922], [0.212, 0.212, 0.212], [0.500, 0.500, 0.248], [0.500, 0.500, 0.752], [0.788, 0.788, 0.788]]
}

{
  "formula": "CaPrPt",
  "functional": "PBE-GGA",
  "state": "relaxed",
  "space_group": "P3m1 (156)",
  "lattice": [[4.223, 0.000, 0.000], [-2.112, 3.657, 0.000], [0.000, 0.000, 6.590]],
  "species": ["Ca", "Pr", "Pt"],
  "frac_coords": [[0.000, 0.000, 0.000], [0.667, 0.333, 0.529], [0.333, 0.667, 0.756]]
}

{
  "formula": "CaPrPt",
  "functional": "PBE-GGA",
  "state": "relaxed",
  "space_group": "F-43m (216)",
  "lattice": [[7.071, 0.000, 0.000], [0.000, 7.071, 0.000], [0.000, 0.000, 7.071]],
  "species": ["Ca", "Ca", "Ca", "Ca", "Pr", "Pr", "Pr", "Pr", "Pt", "Pt", "Pt", "Pt"],
  "frac_coords": [[0.000, 0.000, 0.000], [0.000, 0.500, 0.500], [0.500, 0.000, 0.500], [0.500, 0.500, 0.000], [0.000, 0.000, 0.500], [0.000, 0.500, 0.000], [0.500, 0.000, 0.000], [0.500, 0.500, 0.500], [0.250, 0.250, 0.250], [0.250, 0.750, 0.750], [0.750, 0.250, 0.750], [0.750, 0.750, 0.250]]
}

{
  "formula": "CaPrPt",
  "functional": "PBE-GGA",
  "state": "relaxed",
  "space_group": "P4/mmm (123)",
  "lattice": [[4.136, 0.000, 0.000], [0.000, 4.136, 0.000], [0.000, 0.000, 5.781]],
  "species": ["Ca", "Pr", "Pt"],
  "frac_coords": [[0.000, 0.000, 0.000], [0.500, 0.500, 0.500], [0.000, 0.000, 0.500]]
}

{
  "formula": "Ca3PrPt",
  "functional": "PBE-GGA",
  "state": "relaxed",
  "space_group": "Pm-3m (221)",
  "lattice": [[5.618, 0.000, 0.000], [0.000, 5.618, 0.000], [0.000, 0.000, 5.618]],
  "species": ["Ca", "Ca", "Ca", "Pr", "Pt"],
  "frac_coords": [[0.000, 0.000, 0.500], [0.000, 0.500, 0.000], [0.500, 0.000, 0.000], [0.500, 0.500, 0.500], [0.000, 0.000, 0.000]]
}

{
  "formula": "Ca2PrPt3",
  "functional": "PBE-GGA",
  "state": "relaxed",
  "space_group": "Cmmm (65)",
  "lattice": [[2.509, -7.527, 0.000], [2.509, 7.527, 0.000], [0.000, 0.000, 7.085]],
  "species": ["Ca", "Ca", "Ca", "Ca", "Pr", "Pr", "Pt", "Pt", "Pt", "Pt", "Pt", "Pt"],
  "frac_coords": [[0.000, 0.000, 0.000], [0.000, 0.000, 0.500], [0.333, 0.667, 0.000], [0.667, 0.333, 0.000], [0.338, 0.662, 0.500], [0.662, 0.338, 0.500], [0.169, 0.831, 0.254], [0.169, 0.831, 0.746], [0.500, 0.500, 0.245], [0.500, 0.500, 0.755], [0.831, 0.169, 0.254], [0.831, 0.169, 0.746]]
}

{
  "formula": "Ca2PrPt9",
  "functional": "PBE-GGA",
  "state": "relaxed",
  "space_group": "R-3m (166)",
  "lattice": [[2.719, 1.570, 8.885], [-2.719, 1.570, 8.885], [0.000, -3.140, 8.885]],
  "species": ["Ca", "Ca", "Pr", "Pt", "Pt", "Pt", "Pt", "Pt", "Pt", "Pt", "Pt", "Pt"],
  "frac_coords": [[0.142, 0.142, 0.142], [0.858, 0.858, 0.858], [0.000, 0.000, 0.000], [0.082, 0.586, 0.586], [0.333, 0.333, 0.333], [0.414, 0.414, 0.918], [0.414, 0.918, 0.414], [0.500, 0.500, 0.500], [0.586, 0.082, 0.586], [0.586, 0.586, 0.082], [0.667, 0.667, 0.667], [0.918, 0.414, 0.414]]
}

{
  "formula": "Ca3PrPt8",
  "functional": "PBE-GGA",
  "state": "relaxed",
  "space_group": "R3m (160)",
  "lattice": [[2.742, 1.583, 8.914], [-2.742, 1.583, 8.914], [0.000, -3.167, 8.914]],
  "species": ["Ca", "Ca", "Ca", "Pr", "Pt", "Pt", "Pt", "Pt", "Pt", "Pt", "Pt", "Pt"],
  "frac_coords": [[0.000, 0.000, 0.000], [0.123, 0.123, 0.123], [0.494, 0.494, 0.494], [0.621, 0.621, 0.621], [0.059, 0.059, 0.560], [0.059, 0.559, 0.559], [0.059, 0.560, 0.059], [0.310, 0.310, 0.310], [0.559, 0.059, 0.559], [0.559, 0.559, 0.059], [0.560, 0.059, 0.059], [0.809, 0.809, 0.809]]
}

{
  "formula": "Ca3PrPt2",
  "functional": "PBE-GGA",
  "state": "relaxed",
  "space_group": "Pmc2_1 (26)",
  "lattice": [[4.556, 0.000, 0.000], [0.000, 9.295, 0.000], [0.000, 0.000, 7.615]],
  "species": ["Ca", "Ca", "Ca", "Ca", "Ca", "Ca", "Pr", "Pr", "Pt", "Pt", "Pt", "Pt"],
  "frac_coords": [[0.000, 0.086, 0.000], [0.000, 0.313, 0.381], [0.000, 0.687, 0.881], [0.000, 0.914, 0.500], [0.500, 0.175, 0.667], [0.500, 0.825, 0.167], [0.500, 0.416, 0.043], [0.500, 0.584, 0.543], [0.000, 0.373, 0.773], [0.000, 0.627, 0.273], [0.500, 0.142, 0.261], [0.500, 0.858, 0.761]]
}

{
  "formula": "Ca3Pr2Pt2",
  "functional": "PBE-GGA",
  "state": "relaxed",
  "space_group": "C2/m (12)",
  "lattice": [[12.952, 0.000, 0.000], [0.000, 4.081, 0.000], [-3.188, 0.000, 8.039]],
  "species": ["Ca", "Ca", "Ca", "Ca", "Ca", "Ca", "Pr", "Pr", "Pr", "Pr", "Pt", "Pt", "Pt", "Pt"],
  "frac_coords": [[0.000, 0.000, 0.000], [0.127, 0.000, 0.428], [0.373, 0.500, 0.572], [0.500, 0.500, 0.000], [0.627, 0.500, 0.428], [0.873, 0.000, 0.572], [0.166, 0.500, 0.818], [0.334, 0.000, 0.182], [0.666, 0.000, 0.818], [0.834, 0.500, 0.182], [0.180, 0.500, 0.196], [0.320, 0.000, 0.804], [0.680, 0.000, 0.196], [0.820, 0.500, 0.804]]
}

{
  "formula": "CaPr3Pt8",
  "functional": "PBE-GGA",
  "state": "relaxed",
  "space_group": "R3m (160)",
  "lattice": [[2.758, 1.593, 9.015], [-2.758, 1.593, 9.015], [0.000, -3.185, 9.015]],
  "species": ["Ca", "Pr", "Pr", "Pr", "Pt", "Pt", "Pt", "Pt", "Pt", "Pt", "Pt", "Pt"],
  "frac_coords": [[0.000, 0.000, 0.000], [0.371, 0.371, 0.371], [0.497, 0.497, 0.497], [0.876, 0.876, 0.876], [0.186, 0.186, 0.186], [0.436, 0.936, 0.936], [0.437, 0.437, 0.935], [0.437, 0.935, 0.437], [0.686, 0.686, 0.686], [0.935, 0.437, 0.437], [0.936, 0.436, 0.936], [0.936, 0.936, 0.436]]
}

| no. | VASP energy (eV per formula unit) |
| --- | --- |
| 1 | -42.5 |
| 2 | -58.4 |
| 3 | -14.8 |
| 4 | -15.0 |
| 5 | -15.1 |
| 6 | -18.3 |
| 7 | -32.7 |
| 8 | -73.1 |
| 9 | -70.9 |
| 10 | -27.5 |
| 11 | -32.2 |
| 12 | -77.0 |